Entry 1
The following is a DFT calculation (PBE) of a relaxed YInFeSe3 crystal.

Unit cell a=7.6164 b=7.6164 c=10.7315 alpha=90.00 beta=90.00 gamma=148.96
Last column: nearest neighbours and their distance in Å.
Fractional positions:
Y (0.0000, 0.0000, 0.0000)  6 Se 2.87-2.88
Y (0.0000, 0.0000, 0.5000)  6 Se 2.87-2.88
In (0.2443, 0.7557, 0.7500)  6 Se 3.28-3.39
In (0.7557, 0.2443, 0.2500)  6 Se 3.28-3.39
Fe (0.4724, 0.5276, 0.2500)  4 Se 2.42-2.50
Fe (0.5276, 0.4724, 0.7500)  4 Se 2.42-2.50
Se (0.0709, 0.9291, 0.2500)  2 Fe 2.50
Se (0.3723, 0.6277, 0.0707)  1 Fe 2.42
Se (0.3723, 0.6277, 0.4293)  1 Fe 2.42
Se (0.6277, 0.3723, 0.5707)  1 Fe 2.42
Se (0.6277, 0.3723, 0.9293)  1 Fe 2.42
Se (0.9291, 0.0709, 0.7500)  2 Fe 2.50

Results
Calculated volume, Å³/f.u.: 160
Total magnetization, μB/f.u.: 4.0

=====

Entry 2
The following is a DFT calculation (PBE) of a relaxed YInFeSe3 crystal.

Unit cell a=11.9205 b=4.0668 c=11.8203 alpha=90.00 beta=90.00 gamma=90.00
Last column: nearest neighbours and their distance in Å.
Fractional positions:
Y (0.0125, 0.2500, 0.1835)  6 Se 2.87-3.00
Y (0.4875, 0.7500, 0.6835)  6 Se 2.87-3.00
Y (0.5125, 0.2500, 0.3165)  6 Se 2.87-3.00
Y (0.9875, 0.7500, 0.8165)  6 Se 2.87-3.00
In (0.1842, 0.2500, 0.5092)  2 Fe 2.95, 3 Se 2.95-3.24
In (0.3158, 0.7500, 0.0092)  2 Fe 2.95, 3 Se 2.95-3.24
In (0.6842, 0.2500, 0.9908)  2 Fe 2.95, 3 Se 2.95-3.24
In (0.8158, 0.7500, 0.4908)  2 Fe 2.95, 3 Se 2.95-3.24
Fe (0.2272, 0.7500, 0.3343)  4 Se 2.43-2.50
Fe (0.2728, 0.2500, 0.8343)  4 Se 2.43-2.50
Fe (0.7272, 0.7500, 0.1657)  4 Se 2.43-2.50
Fe (0.7728, 0.2500, 0.6657)  4 Se 2.43-2.50
Se (0.0229, 0.7500, 0.3545)  1 Fe 2.45
Se (0.1020, 0.2500, 0.9460)  1 Fe 2.43
Se (0.2418, 0.7500, 0.7146)  2 Fe 2.50
Se (0.2582, 0.2500, 0.2146)  2 Fe 2.50
Se (0.3980, 0.7500, 0.4460)  1 Fe 2.43
Se (0.4771, 0.2500, 0.8545)  1 Fe 2.45
Se (0.5229, 0.7500, 0.1455)  1 Fe 2.45
Se (0.6020, 0.2500, 0.5540)  1 Fe 2.43
Se (0.7418, 0.7500, 0.7854)  2 Fe 2.50
Se (0.7582, 0.2500, 0.2854)  2 Fe 2.50
Se (0.8980, 0.7500, 0.0540)  1 Fe 2.43
Se (0.9771, 0.2500, 0.6455)  1 Fe 2.45

Results
Calculated volume, Å³/f.u.: 143
Total magnetization, μB/f.u.: 3.4

=====

Relative to the most stable one, in kJ/mol of atoms, the structures come out at entry 1 0.0; entry 2 4.0.

=====

Entry 1
The following is a DFT calculation (PBE) of a relaxed LuFeSiIr crystal.

Unit cell a=4.3622 b=4.3622 c=4.3622 alpha=60.00 beta=60.00 gamma=60.00
Last column: nearest neighbours and their distance in Å.
Fractional positions:
Lu (0.0000, 0.0000, 0.0000)  4 Fe 2.67, 4 Ir 2.67
Fe (0.7500, 0.7500, 0.7500)  4 Si 2.67, 4 Lu 2.67
Si (0.5000, 0.5000, 0.5000)  4 Fe 2.67, 4 Ir 2.67
Ir (0.2500, 0.2500, 0.2500)  4 Si 2.67, 4 Lu 2.67

Results
Calculated volume, Å³/f.u.: 59
Total magnetization, μB/f.u.: 0.0

=====

Entry 2
The following is a DFT calculation (PBE) of a relaxed LuFeSiIr crystal.

Unit cell a=4.5131 b=4.5131 c=4.5131 alpha=60.00 beta=60.00 gamma=60.00
Last column: nearest neighbours and their distance in Å.
Fractional positions:
Lu (0.0000, 0.0000, 0.0000)  4 Ir 2.76, 4 Si 2.76
Fe (0.5000, 0.5000, 0.5000)  4 Ir 2.76, 4 Si 2.76
Si (0.2500, 0.2500, 0.2500)  4 Fe 2.76, 4 Lu 2.76
Ir (0.7500, 0.7500, 0.7500)  4 Fe 2.76, 4 Lu 2.76

Results
Calculated volume, Å³/f.u.: 65
Total magnetization, μB/f.u.: 3.4

=====

Relative to the most stable one, in kJ/mol of atoms, the structures come out at entry 1 0.0; entry 2 32.7.

=====

Entry 1
The following is a DFT calculation (PBE) of a relaxed NbFeIrPb crystal.

Unit cell a=4.5718 b=4.5718 c=4.5718 alpha=60.00 beta=60.00 gamma=60.00
Last column: nearest neighbours and their distance in Å.
Fractional positions:
Nb (0.0000, 0.0000, 0.0000)  4 Fe 2.80, 4 Ir 2.80
Fe (0.7500, 0.7500, 0.7500)  4 Pb 2.80, 4 Nb 2.80
Ir (0.2500, 0.2500, 0.2500)  4 Pb 2.80, 4 Nb 2.80
Pb (0.5000, 0.5000, 0.5000)  4 Fe 2.80, 4 Ir 2.80

Results
Calculated volume, Å³/f.u.: 68
Total magnetization, μB/f.u.: 2.0

=====

Entry 2
The following is a DFT calculation (PBE) of a relaxed NbFeIrPb crystal.

Unit cell a=4.5950 b=4.5950 c=4.5950 alpha=60.00 beta=60.00 gamma=60.00
Last column: nearest neighbours and their distance in Å.
Fractional positions:
Nb (0.0000, 0.0000, 0.0000)  4 Ir 2.81, 4 Pb 2.81
Fe (0.5000, 0.5000, 0.5000)  4 Pb 2.81, 4 Ir 2.81
Ir (0.7500, 0.7500, 0.7500)  4 Nb 2.81, 4 Fe 2.81
Pb (0.2500, 0.2500, 0.2500)  4 Nb 2.81, 4 Fe 2.81

Results
Calculated volume, Å³/f.u.: 69
Total magnetization, μB/f.u.: 2.4

=====

Relative to the most stable one, in kJ/mol of atoms, the structures come out at entry 1 0.0; entry 2 15.6.

=====

Entry 1
The following is a DFT calculation (PBE) of a relaxed NbFeSiIr crystal.

Unit cell a=4.3403 b=4.3403 c=4.3403 alpha=60.00 beta=60.00 gamma=60.00
Last column: nearest neighbours and their distance in Å.
Fractional positions:
Nb (0.0000, 0.0000, 0.0000)  4 Ir 2.66, 4 Si 2.66
Fe (0.5000, 0.5000, 0.5000)  4 Ir 2.66, 4 Si 2.66
Si (0.2500, 0.2500, 0.2500)  4 Fe 2.66, 4 Nb 2.66
Ir (0.7500, 0.7500, 0.7500)  4 Fe 2.66, 4 Nb 2.66

Results
Calculated volume, Å³/f.u.: 58
Total magnetization, μB/f.u.: 2.4

=====

Entry 2
The following is a DFT calculation (PBE) of a relaxed NbFeSiIr crystal.

Unit cell a=4.3053 b=4.3053 c=4.3053 alpha=60.00 beta=60.00 gamma=60.00
Last column: nearest neighbours and their distance in Å.
Fractional positions:
Nb (0.0000, 0.0000, 0.0000)  4 Fe 2.64, 4 Ir 2.64
Fe (0.7500, 0.7500, 0.7500)  4 Si 2.64, 4 Nb 2.64
Si (0.5000, 0.5000, 0.5000)  4 Fe 2.64, 4 Ir 2.64
Ir (0.2500, 0.2500, 0.2500)  4 Nb 2.64, 4 Si 2.64

Results
Calculated volume, Å³/f.u.: 56
Total magnetization, μB/f.u.: 1.9

=====

Relative to the most stable one, in kJ/mol of atoms, the structures come out at entry 1 19.5; entry 2 0.0.

=====

Entry 1
The following is a DFT calculation (PBE) of a relaxed NbTlFeIr crystal.

Unit cell a=4.5755 b=4.5755 c=4.5755 alpha=60.00 beta=60.00 gamma=60.00
Last column: nearest neighbours and their distance in Å.
Fractional positions:
Nb (0.0000, 0.0000, 0.0000)  4 Tl 2.80, 4 Ir 2.80
Tl (0.2500, 0.2500, 0.2500)  4 Nb 2.80, 4 Fe 2.80
Fe (0.5000, 0.5000, 0.5000)  4 Tl 2.80, 4 Ir 2.80
Ir (0.7500, 0.7500, 0.7500)  4 Nb 2.80, 4 Fe 2.80

Results
Calculated volume, Å³/f.u.: 68
Total magnetization, μB/f.u.: 3.2

=====

Entry 2
The following is a DFT calculation (PBE) of a relaxed NbTlFeIr crystal.

Unit cell a=4.5338 b=4.5338 c=4.5338 alpha=60.00 beta=60.00 gamma=60.00
Last column: nearest neighbours and their distance in Å.
Fractional positions:
Nb (0.0000, 0.0000, 0.0000)  4 Ir 2.78, 4 Fe 2.78
Tl (0.5000, 0.5000, 0.5000)  4 Fe 2.78, 4 Ir 2.78
Fe (0.7500, 0.7500, 0.7500)  4 Tl 2.78, 4 Nb 2.78
Ir (0.2500, 0.2500, 0.2500)  4 Tl 2.78, 4 Nb 2.78

Results
Calculated volume, Å³/f.u.: 66
Total magnetization, μB/f.u.: 1.5

=====

Relative to the most stable one, in kJ/mol of atoms, the structures come out at entry 1 17.4; entry 2 0.0.

=====

Entry 1
The following is a DFT calculation (PBE) of a relaxed TaFeIrPb crystal.

Unit cell a=4.5897 b=4.5897 c=4.5897 alpha=60.00 beta=60.00 gamma=60.00
Last column: nearest neighbours and their distance in Å.
Fractional positions:
Ta (0.0000, 0.0000, 0.0000)  4 Ir 2.81, 4 Pb 2.81
Fe (0.5000, 0.5000, 0.5000)  4 Pb 2.81, 4 Ir 2.81
Ir (0.7500, 0.7500, 0.7500)  4 Ta 2.81, 4 Fe 2.81
Pb (0.2500, 0.2500, 0.2500)  4 Ta 2.81, 4 Fe 2.81

Results
Calculated volume, Å³/f.u.: 68
Total magnetization, μB/f.u.: 2.5

=====

Entry 2
The following is a DFT calculation (PBE) of a relaxed TaFeIrPb crystal.

Unit cell a=4.5635 b=4.5635 c=4.5635 alpha=60.00 beta=60.00 gamma=60.00
Last column: nearest neighbours and their distance in Å.
Fractional positions:
Ta (0.0000, 0.0000, 0.0000)  4 Fe 2.79, 4 Ir 2.79
Fe (0.7500, 0.7500, 0.7500)  4 Pb 2.79, 4 Ta 2.79
Ir (0.2500, 0.2500, 0.2500)  4 Pb 2.79, 4 Ta 2.79
Pb (0.5000, 0.5000, 0.5000)  4 Fe 2.79, 4 Ir 2.79

Results
Calculated volume, Å³/f.u.: 67
Total magnetization, μB/f.u.: 2.0

=====

Relative to the most stable one, in kJ/mol of atoms, the structures come out at entry 1 22.2; entry 2 0.0.